A plane-wave DFT calculation with PBE-GGA was carried out for an optimized crystal structure of Ge2SbSe2.

Geometry as POSCAR:
```
Ge2SbSe2
1.0
-6.198 2.295 5.001
-2.978 -7.734 -0.142
1.998 -0.822 2.854
Sb Ge Se
2 4 4
Direct
0.000 0.000 0.000 Sb
0.500 0.500 0.000 Sb
0.291 0.791 0.000 Ge
0.791 0.709 0.000 Ge
0.709 0.209 0.000 Ge
0.209 0.291 0.000 Ge
0.141 0.641 0.500 Se
0.641 0.859 0.500 Se
0.859 0.359 0.500 Se
0.359 0.141 0.500 Se
```

Results
The size of the total moment comes out at 0.00 μB/f.u. The formation energy (no corrections) comes out at 78 meV/atom.